(1)
Material: Na2TaZnO4
Method: DFT, PBE-GGA
State: relaxed

a b c (Å): 5.543 5.888 9.080
angles (deg): 90.00 126.83 90.00
Fractional positions:
Na 0.000 0.174 0.000
Na 0.000 0.826 0.500
Na 0.746 0.302 0.249
Na 0.746 0.698 0.749
Ta 0.262 0.322 0.752
Ta 0.262 0.678 0.252
Zn 0.503 0.187 0.496
Zn 0.503 0.813 0.996
O 0.172 0.374 0.263
O 0.172 0.626 0.763
O 0.377 0.153 0.961
O 0.377 0.847 0.461
O 0.583 0.323 0.734
O 0.583 0.677 0.234
O 0.918 0.189 0.542
O 0.918 0.811 0.042

## Properties
M_tot in μB/cell: 0.005
Total energy in eV/atom: -6.36

***

(2)
Material: KAg3PtS4
Method: DFT, PBE-GGA
State: relaxed

a b c (Å): 6.246 6.246 6.246
angles (deg): 90.00 90.00 90.00
Fractional positions:
K 0.000 0.000 0.000
Ag 0.000 0.500 0.500
Ag 0.500 0.000 0.500
Ag 0.500 0.500 0.000
Pt 0.500 0.500 0.500
S 0.282 0.282 0.282
S 0.282 0.718 0.718
S 0.718 0.282 0.718
S 0.718 0.718 0.282

## Properties
M_tot in μB/cell: 1.998
Total energy in eV/atom: -3.66

***

(3)
Material: Er3TmMg2
Method: DFT, PBE-GGA
State: relaxed

a b c (Å): 5.411 8.721 8.721
angles (deg): 23.94 90.00 90.00
Fractional positions:
Er 0.000 0.000 0.000
Er 0.000 0.320 0.320
Er 0.500 0.188 0.188
Tm 0.500 0.867 0.867
Mg 0.000 0.659 0.659
Mg 0.500 0.529 0.529

## Properties
M_tot in μB/cell: 0.021
Total energy in eV/atom: -3.60

***

(4)
Material: ZrTl2HgBr6
Method: DFT, PBE-GGA
State: relaxed

a b c (Å): 8.223 8.223 8.223
angles (deg): 60.00 60.00 60.00
Fractional positions:
Zr 0.000 0.000 0.000
Tl 0.250 0.250 0.250
Tl 0.750 0.750 0.750
Hg 0.500 0.500 0.500
Br 0.227 0.227 0.773
Br 0.227 0.773 0.227
Br 0.227 0.773 0.773
Br 0.773 0.227 0.227
Br 0.773 0.227 0.773
Br 0.773 0.773 0.227

## Properties
M_tot in μB/cell: 0.002
Total energy in eV/atom: -3.28

***

(5)
Material: ErHfCSe
Method: DFT, PBE-GGA
State: relaxed

a b c (Å): 3.549 3.549 12.870
angles (deg): 90.00 90.00 120.00
Fractional positions:
Er 0.000 0.000 0.155
Er 0.000 0.000 0.845
Hf 0.667 0.333 0.351
Hf 0.667 0.333 0.649
C 0.333 0.667 0.267
C 0.333 0.667 0.733
Se 0.000 0.000 0.500
Se 0.667 0.333 0.000

## Properties
M_tot in μB/cell: 0.001
Energy relative to the lowest polymorph listed for this composition in meV/atom: 16
Total energy in eV/atom: -7.96

***

(6)
Material: CsSn5Au3
Method: DFT, PBE-GGA
State: relaxed

a b c (Å): 5.831 5.831 8.755
angles (deg): 90.00 90.00 120.00
Fractional positions:
Cs 0.000 0.000 0.000
Sn 0.000 0.000 0.500
Sn 0.333 0.667 0.222
Sn 0.333 0.667 0.778
Sn 0.667 0.333 0.222
Sn 0.667 0.333 0.778
Au 0.000 0.500 0.500
Au 0.500 0.000 0.500
Au 0.500 0.500 0.500

## Properties
Total energy in eV/atom: -3.49

***

(7)
Material: MgFeCuGe
Method: DFT, PBE-GGA
State: relaxed

a b c (Å): 4.269 4.269 4.269
angles (deg): 60.00 60.00 60.00
Fractional positions:
Mg 0.000 0.000 0.000
Fe 0.250 0.250 0.250
Cu 0.750 0.750 0.750
Ge 0.500 0.500 0.500

## Properties
M_tot in μB/cell: 1.897
Energy relative to the lowest polymorph listed for this composition in meV/atom: 0
Total energy in eV/atom: -4.48

***

(8)
Material: Ta4CoN3
Method: DFT, PBE-GGA
State: relaxed

a b c (Å): 3.101 3.101 22.899
angles (deg): 90.00 90.00 120.00
Fractional positions:
Ta 0.000 0.000 0.166
Ta 0.000 0.000 0.334
Ta 0.000 0.000 0.666
Ta 0.000 0.000 0.834
Ta 0.333 0.667 0.059
Ta 0.333 0.667 0.441
Ta 0.667 0.333 0.559
Ta 0.667 0.333 0.941
Co 0.333 0.667 0.250
Co 0.667 0.333 0.750
N 0.000 0.000 0.000
N 0.000 0.000 0.500
N 0.333 0.667 0.614
N 0.333 0.667 0.886
N 0.667 0.333 0.114
N 0.667 0.333 0.386

## Properties
M_tot in μB/cell: 0.126
Total energy in eV/atom: -10.58